DFT (PBE+U) results for BaMn2AgF8 after structural relaxation.

## Properties
As for the space-group type: P-1, No. 2. The crystal system is triclinic. The energy is -5.46 eV per atom.

```
BaMn2AgF8
1.0
5.455 0.038 0.016
0.081 5.390 0.013
0.027 0.032 6.808
Ba Mn Ag F
1 2 1 8
direct
0.000 0.000 0.500
0.499 0.499 0.761
0.501 0.501 0.239
0.000 0.000 0.000
0.239 0.758 0.232
0.675 0.679 0.996
0.761 0.242 0.232
0.761 0.242 0.768
0.325 0.321 0.004
0.239 0.758 0.768
0.662 0.667 0.497
0.338 0.333 0.503
```